## YIr2Ru2 (PBE)

Data for crystalline YIr2Ru2 at its relaxed geometry.

abc: 7.6571 7.6571 2.8232
angles: 90.00 90.00 90.00
Atoms (fractional coordinates):
Y: 0.0000 0.0000 0.0000
Y: 0.5000 0.5000 0.0000
Ru: 0.1761 0.6761 0.5000
Ru: 0.6761 0.8239 0.5000
Ru: 0.8239 0.3239 0.5000
Ru: 0.3239 0.1761 0.5000
Ir: 0.3783 0.8783 0.0000
Ir: 0.8783 0.6217 0.0000
Ir: 0.6217 0.1217 0.0000
Ir: 0.1217 0.3783 0.0000

Output
The spin magnetization is 0.000 μB/atom. The calculated formation energy comes out at -96 meV per atom. The calculation puts the relative energy among the computed polymorphs at 0.0409 eV per atom. Its space group is P4/mbm, No. 127.